# Cs12As3Au5 (PBE-GGA, relaxed)
data_Cs12As3Au5
_chemical_formula_sum 'Cs48 As12 Au20'
_symmetry_space_group_name_H-M 'P 1'
_symmetry_Int_Tables_number 1
_symmetry_space_group_name_Hall 'P 1'
_cell_length_a 18.334
_cell_length_b 18.334
_cell_length_c 18.334
_cell_angle_alpha 109.47
_cell_angle_beta 109.47
_cell_angle_gamma 109.47
loop_
_atom_site_label
_atom_site_type_symbol
_atom_site_fract_x
_atom_site_fract_y
_atom_site_fract_z
_atom_site_occupancy
Cs1 Cs 0.171 0.085 0.944 1
Cs2 Cs 0.414 0.140 0.585 1
Cs3 Cs 0.360 0.415 0.086 1
Cs4 Cs 0.726 0.586 0.171 1
Cs5 Cs 0.556 0.329 0.915 1
Cs6 Cs 0.915 0.086 0.860 1
Cs7 Cs 0.085 0.171 0.444 1
Cs8 Cs 0.171 0.086 0.726 1
Cs9 Cs 0.640 0.585 0.914 1
Cs10 Cs 0.556 0.226 0.140 1
Cs11 Cs 0.585 0.640 0.414 1
Cs12 Cs 0.585 0.944 0.671 1
Cs13 Cs 0.056 0.640 0.726 1
Cs14 Cs 0.829 0.915 0.056 1
Cs15 Cs 0.586 0.726 0.671 1
Cs16 Cs 0.415 0.360 0.586 1
Cs17 Cs 0.915 0.829 0.556 1
Cs18 Cs 0.671 0.226 0.586 1
Cs19 Cs 0.086 0.915 0.360 1
Cs20 Cs 0.914 0.829 0.774 1
Cs21 Cs 0.444 0.671 0.085 1
Cs22 Cs 0.056 0.415 0.829 1
Cs23 Cs 0.360 0.944 0.774 1
Cs24 Cs 0.226 0.671 0.086 1
Cs25 Cs 0.829 0.914 0.274 1
Cs26 Cs 0.640 0.056 0.226 1
Cs27 Cs 0.774 0.329 0.914 1
Cs28 Cs 0.914 0.085 0.640 1
Cs29 Cs 0.086 0.171 0.226 1
Cs30 Cs 0.329 0.774 0.414 1
Cs31 Cs 0.586 0.860 0.415 1
Cs32 Cs 0.140 0.726 0.556 1
Cs33 Cs 0.774 0.444 0.360 1
Cs34 Cs 0.274 0.860 0.944 1
Cs35 Cs 0.329 0.556 0.415 1
Cs36 Cs 0.226 0.556 0.640 1
Cs37 Cs 0.860 0.586 0.915 1
Cs38 Cs 0.414 0.274 0.329 1
Cs39 Cs 0.415 0.056 0.329 1
Cs40 Cs 0.726 0.140 0.056 1
Cs41 Cs 0.274 0.414 0.829 1
Cs42 Cs 0.085 0.914 0.140 1
Cs43 Cs 0.671 0.444 0.585 1
Cs44 Cs 0.944 0.360 0.274 1
Cs45 Cs 0.140 0.414 0.085 1
Cs46 Cs 0.444 0.774 0.860 1
Cs47 Cs 0.944 0.585 0.171 1
Cs48 Cs 0.860 0.274 0.444 1
Au1 Au 0.750 0.625 0.375 1
Au2 Au 0.250 0.375 0.625 1
Au3 Au 0.000 0.000 0.000 1
Au4 Au 0.125 0.750 0.375 1
Au5 Au 0.500 0.500 0.500 1
Au6 Au 0.500 0.000 0.000 1
Au7 Au 0.375 0.125 0.750 1
Au8 Au 0.500 0.500 0.000 1
Au9 Au 0.625 0.750 0.875 1
Au10 Au 0.250 0.875 0.125 1
Au11 Au 0.875 0.625 0.750 1
Au12 Au 0.375 0.250 0.125 1
Au13 Au 0.125 0.375 0.250 1
Au14 Au 0.750 0.125 0.875 1
Au15 Au 0.000 0.500 0.000 1
Au16 Au 0.500 0.000 0.500 1
Au17 Au 0.875 0.250 0.625 1
Au18 Au 0.625 0.875 0.250 1
Au19 Au 0.000 0.000 0.500 1
Au20 Au 0.000 0.500 0.500 1
As1 As 0.375 0.625 0.250 1
As2 As 0.125 0.250 0.875 1
As3 As 0.250 0.125 0.375 1
As4 As 0.750 0.875 0.625 1
As5 As 0.125 0.875 0.750 1
As6 As 0.625 0.250 0.375 1
As7 As 0.875 0.125 0.250 1
As8 As 0.375 0.750 0.625 1
As9 As 0.750 0.375 0.125 1
As10 As 0.625 0.375 0.750 1
As11 As 0.250 0.625 0.875 1
As12 As 0.875 0.750 0.125 1
# Fermi-level density of states ... 18.74 states/eV/f.u.
# ΔH_f (0 K) ... -217.3 meV per atom
# Total energy ... -179.7 eV per cell



# CsAsAu (PBE-GGA, relaxed)
data_CsAsAu
_chemical_formula_sum 'Cs2 As2 Au2'
_symmetry_space_group_name_H-M 'P 1'
_symmetry_Int_Tables_number 1
_symmetry_space_group_name_Hall 'P 1'
_cell_length_a 5.745
_cell_length_b 6.233
_cell_length_c 8.439
_cell_angle_alpha 95.54
_cell_angle_beta 89.98
_cell_angle_gamma 62.92
loop_
_atom_site_label
_atom_site_type_symbol
_atom_site_fract_x
_atom_site_fract_y
_atom_site_fract_z
_atom_site_occupancy
Au1 Au 0.688 0.167 0.175 1
Au2 Au 0.758 0.025 0.866 1
Cs1 Cs 0.358 0.823 0.258 1
Cs2 Cs 0.088 0.368 0.783 1
As1 As 0.816 0.909 0.569 1
As2 As 0.630 0.283 0.471 1
# Distance to the lowest polymorph of the same formula ... 156 meV/atom
# Fermi-level density of states ... 1.55 states/eV/f.u.
# ΔH_f (0 K) ... -270.3 meV per atom
# Total energy ... -19.2 eV per cell



# Cs2AsAu2 (PBE-GGA, relaxed)
data_Cs2AsAu2
_chemical_formula_sum 'Cs2 As1 Au2'
_symmetry_space_group_name_H-M 'P 1'
_symmetry_Int_Tables_number 1
_symmetry_space_group_name_Hall 'P 1'
_cell_length_a 7.153
_cell_length_b 7.153
_cell_length_c 6.343
_cell_angle_alpha 55.68
_cell_angle_beta 55.68
_cell_angle_gamma 90.00
loop_
_atom_site_label
_atom_site_type_symbol
_atom_site_fract_x
_atom_site_fract_y
_atom_site_fract_z
_atom_site_occupancy
Au1 Au 0.328 0.328 0.344 1
Au2 Au 0.672 0.672 0.656 1
As1 As 0.000 0.000 0.000 1
Cs1 Cs 0.750 0.250 0.500 1
Cs2 Cs 0.250 0.750 0.500 1
# Distance to the lowest polymorph of the same formula ... 54 meV/atom
# Fermi-level density of states ... 4.13 states/eV/f.u.
# ΔH_f (0 K) ... -212.0 meV per atom
# Total energy ... -14.0 eV per cell



# CsAsAu3 (PBE-GGA, relaxed)
data_CsAsAu3
_chemical_formula_sum 'Cs2 As2 Au6'
_symmetry_space_group_name_H-M 'P 1'
_symmetry_Int_Tables_number 1
_symmetry_space_group_name_Hall 'P 1'
_cell_length_a 6.879
_cell_length_b 6.227
_cell_length_c 6.726
_cell_angle_alpha 90.00
_cell_angle_beta 90.03
_cell_angle_gamma 90.00
loop_
_atom_site_label
_atom_site_type_symbol
_atom_site_fract_x
_atom_site_fract_y
_atom_site_fract_z
_atom_site_occupancy
Cs1 Cs 0.518 0.284 0.299 1
Cs2 Cs 0.018 0.069 0.799 1
Au1 Au 0.497 0.155 0.799 1
Au2 Au 0.623 0.780 0.010 1
Au3 Au 0.997 0.198 0.299 1
Au4 Au 0.123 0.573 0.510 1
Au5 Au 0.623 0.781 0.589 1
Au6 Au 0.123 0.572 0.089 1
As1 As 0.861 0.814 0.299 1
As2 As 0.361 0.539 0.799 1
# Distance to the lowest polymorph of the same formula ... 0 meV/atom
# Fermi-level density of states ... 1.45 states/eV/f.u.
# ΔH_f (0 K) ... -152.2 meV per atom
# Total energy ... -32.2 eV per cell



# Cs5As2Au (PBE-GGA, relaxed)
data_Cs5As2Au
_chemical_formula_sum 'Cs5 As2 Au1'
_symmetry_space_group_name_H-M 'P 1'
_symmetry_Int_Tables_number 1
_symmetry_space_group_name_Hall 'P 1'
_cell_length_a 6.319
_cell_length_b 6.319
_cell_length_c 10.332
_cell_angle_alpha 72.19
_cell_angle_beta 72.19
_cell_angle_gamma 60.00
loop_
_atom_site_label
_atom_site_type_symbol
_atom_site_fract_x
_atom_site_fract_y
_atom_site_fract_z
_atom_site_occupancy
Cs1 Cs 0.636 0.636 0.093 1
Cs2 Cs 0.364 0.364 0.907 1
Cs3 Cs 0.216 0.216 0.351 1
Cs4 Cs 0.500 0.500 0.500 1
Cs5 Cs 0.784 0.784 0.649 1
As1 As 0.088 0.088 0.737 1
As2 As 0.912 0.912 0.263 1
Au1 Au 0.000 0.000 0.000 1
# ΔH_f (0 K) ... -387.0 meV per atom
# Total energy ... -19.9 eV per cell



# CsAsAu (PBE-GGA, relaxed)
data_CsAsAu
_chemical_formula_sum 'Cs1 As1 Au1'
_symmetry_space_group_name_H-M 'P 1'
_symmetry_Int_Tables_number 1
_symmetry_space_group_name_Hall 'P 1'
_cell_length_a 5.870
_cell_length_b 4.427
_cell_length_c 4.427
_cell_angle_alpha 120.00
_cell_angle_beta 90.00
_cell_angle_gamma 90.00
loop_
_atom_site_label
_atom_site_type_symbol
_atom_site_fract_x
_atom_site_fract_y
_atom_site_fract_z
_atom_site_occupancy
As1 As 0.167 0.333 0.667 1
Au1 Au 0.166 0.000 0.000 1
Cs1 Cs 0.667 0.667 0.333 1
# Distance to the lowest polymorph of the same formula ... 86 meV/atom
# Fermi-level density of states ... 2.74 states/eV/f.u.
# ΔH_f (0 K) ... -340.0 meV per atom
# Total energy ... -9.8 eV per cell



# CsAs2Au (PBE-GGA, relaxed)
data_CsAs2Au
_chemical_formula_sum 'Cs1 As2 Au1'
_symmetry_space_group_name_H-M 'P 1'
_symmetry_Int_Tables_number 1
_symmetry_space_group_name_Hall 'P 1'
_cell_length_a 5.240
_cell_length_b 5.240
_cell_length_c 5.240
_cell_angle_alpha 60.00
_cell_angle_beta 60.00
_cell_angle_gamma 60.00
loop_
_atom_site_label
_atom_site_type_symbol
_atom_site_fract_x
_atom_site_fract_y
_atom_site_fract_z
_atom_site_occupancy
Au1 Au 0.500 0.500 0.500 1
Cs1 Cs 0.000 0.000 0.000 1
As1 As 0.750 0.750 0.750 1
As2 As 0.250 0.250 0.250 1
# Fermi-level density of states ... 2.58 states/eV/f.u.
# ΔH_f (0 K) ... 573.8 meV per atom
# Total energy ... -11.1 eV per cell



# CsAs2Au3 (PBE-GGA, relaxed)
data_CsAs2Au3
_chemical_formula_sum 'Cs2 As4 Au6'
_symmetry_space_group_name_H-M 'P 1'
_symmetry_Int_Tables_number 1
_symmetry_space_group_name_Hall 'P 1'
_cell_length_a 6.946
_cell_length_b 6.888
_cell_length_c 6.889
_cell_angle_alpha 106.06
_cell_angle_beta 90.00
_cell_angle_gamma 90.00
loop_
_atom_site_label
_atom_site_type_symbol
_atom_site_fract_x
_atom_site_fract_y
_atom_site_fract_z
_atom_site_occupancy
As1 As 0.500 0.346 0.846 1
As2 As 0.000 0.654 0.154 1
As3 As 0.500 0.654 0.154 1
As4 As 0.000 0.346 0.846 1
Au1 Au 0.750 0.660 0.841 1
Au2 Au 0.250 0.294 0.545 1
Au3 Au 0.750 0.046 0.794 1
Au4 Au 0.750 0.706 0.455 1
Au5 Au 0.250 0.954 0.206 1
Au6 Au 0.250 0.340 0.159 1
Cs1 Cs 0.750 0.182 0.318 1
Cs2 Cs 0.250 0.818 0.682 1
# Fermi-level density of states ... 2.92 states/eV/f.u.
# ΔH_f (0 K) ... -111.8 meV per atom
# Total energy ... -41.3 eV per cell



# Cs2As4Au5 (PBE-GGA, relaxed)
data_Cs2As4Au5
_chemical_formula_sum 'Cs2 As4 Au5'
_symmetry_space_group_name_H-M 'P 1'
_symmetry_Int_Tables_number 1
_symmetry_space_group_name_Hall 'P 1'
_cell_length_a 7.751
_cell_length_b 6.300
_cell_length_c 9.392
_cell_angle_alpha 68.13
_cell_angle_beta 89.76
_cell_angle_gamma 52.17
loop_
_atom_site_label
_atom_site_type_symbol
_atom_site_fract_x
_atom_site_fract_y
_atom_site_fract_z
_atom_site_occupancy
As1 As 0.836 0.328 0.195 1
As2 As 0.164 0.672 0.805 1
As3 As 0.605 0.785 0.240 1
As4 As 0.395 0.215 0.760 1
Au1 Au 0.358 0.825 0.906 1
Au2 Au 0.642 0.175 0.094 1
Au3 Au 0.000 0.000 0.500 1
Au4 Au 0.182 0.176 0.092 1
Au5 Au 0.818 0.824 0.908 1
Cs1 Cs 0.256 0.483 0.323 1
Cs2 Cs 0.744 0.517 0.677 1
# Fermi-level density of states ... 2.16 states/eV/f.u.
# ΔH_f (0 K) ... -210.5 meV per atom
# Total energy ... -39.0 eV per cell